Entry 1:
First-principles (PBE) data for Ce2DyZnC after structural relaxation, as listed in the Alexandria database.

The total magnetization is 0.65 μB/cell. The space group is P4/mmm. For the calculated density, the calculation gives 7.3 g/cm³. The calculated formation energy comes out at -0.701 eV/f.u.

a b c (Å): 4.895 4.895 4.914
angles (deg): 90.00 90.00 90.00
Each line ends with the local moment (μB).
Positions (direct):
Ce 0.000 0.500 0.000  0.27
Ce 0.500 0.000 0.000  0.27
Dy 0.000 0.000 0.500  0.02
Zn 0.500 0.500 0.500  0.00
C 0.000 0.000 0.000  -0.02



Entry 2:
First-principles (PBE) data for Ce3ErC after structural relaxation, as listed in the Alexandria database.

The total magnetization is 0.42 μB/cell. The space group is Pm-3m. For the calculated density, the calculation gives 7.9 g/cm³. The calculated formation energy comes out at 0.017 eV/f.u.

a b c (Å): 5.021 5.021 5.021
angles (deg): 90.00 90.00 90.00
Each line ends with the local moment (μB).
Positions (direct):
C 0.000 0.000 0.000  -0.01
Ce 0.000 0.500 0.000  0.11
Ce 0.000 0.000 0.500  0.11
Ce 0.500 0.000 0.000  0.11
Er 0.500 0.500 0.500  0.02



Entry 3:
First-principles (PBE) data for CeErC2 after structural relaxation, as listed in the Alexandria database.

The total magnetization is 0.00 μB/cell. The space group is R3m. For the calculated density, the calculation gives 8.3 g/cm³. As for the energy above the most stable polymorph in this dataset: 12.18 kJ/mol of atoms. The calculated formation energy comes out at 0.355 eV/f.u.

a b c (Å): 3.587 3.587 6.286
angles (deg): 73.43 73.43 60.00
Positions (direct):
Ce 0.666 0.666 0.003
Er 0.496 0.496 0.511
C 0.084 0.084 0.748
C 0.254 0.254 0.238



Entry 4:
First-principles (PBE) data for CeErC after structural relaxation, as listed in the Alexandria database.

The total magnetization is 0.00 μB/cell. The space group is I4mm. For the calculated density, the calculation gives 8.9 g/cm³. As for the energy above the most stable polymorph in this dataset: 36.60 kJ/mol of atoms. The calculated formation energy comes out at 0.472 eV/f.u.

a b c (Å): 3.155 3.155 6.378
angles (deg): 104.32 104.32 90.00
Positions (direct):
C 0.335 0.335 0.670
Ce 0.718 0.718 0.435
Er 0.947 0.947 0.894